This record from Alexandria via LeMat-Bulk describes a relaxed Sm2PbCl crystal. The functional is GGA-PBE.

Lattice parameters (Å, degrees): 10.9493 10.9493 10.9493 18.76 18.76 18.76
Last column: nearest neighbours and their distance in Å.
Atoms (fractional coordinates):
Sm 0.0981 0.0981 0.0981  3 Cl 3.02, 1 Pb 3.16
Sm 0.9019 0.9019 0.9019  3 Cl 3.02, 1 Pb 3.16
Pb 0.0000 0.0000 0.0000  2 Sm 3.16
Cl 0.5000 0.5000 0.5000  6 Sm 3.02

Results
D(E_F) in states/eV/cell: 2.11
ρ in Mg/m³: 7.6
ΔE_f (raw) in meV per atom: -622